No. 1
## CdHgPtI2 (GGA-PBE)

Data for a relaxed structure of CdHgPtI2.

Geometry as CIF:
```
data_CdHgPtI2
_chemical_formula_sum 'Cd1 Hg1 Pt1 I2'
_cell_length_a 5.890
_cell_length_b 5.890
_cell_length_c 5.228
_cell_angle_alpha 90.00
_cell_angle_beta 90.00
_cell_angle_gamma 90.00
_space_group_name_H-M_alt 'P 4/m m m'
_space_group_IT_number 123
_space_group_name_Hall '-P 4 2'
loop_
_atom_site_label
_atom_site_fract_x
_atom_site_fract_y
_atom_site_fract_z
Cd1 0.000 0.000 0.000
Hg1 0.500 0.500 0.500
Pt1 0.500 0.500 0.000
I1 0.000 0.500 0.500
```

- N(E_F) (states/eV/f.u.) = 5.104
- calculated volume (Å³/cell) = 181.3
- energy (eV for the cell shown) = -7.1

=====

No. 2
## Ba2CdCu (GGA-PBE)

Data for a relaxed structure of Ba2CdCu.

Geometry as CIF:
```
data_Ba2CdCu
_chemical_formula_sum 'Ba8 Cd4 Cu4'
_cell_length_a 8.998
_cell_length_b 8.998
_cell_length_c 7.994
_cell_angle_alpha 90.00
_cell_angle_beta 90.00
_cell_angle_gamma 90.00
_space_group_name_H-M_alt 'I -4 2 d'
_space_group_IT_number 122
_space_group_name_Hall 'I -4 2bw'
loop_
_atom_site_label
_atom_site_fract_x
_atom_site_fract_y
_atom_site_fract_z
Ba1 0.212 0.750 0.125
Cd1 0.000 0.000 0.500
Cu1 0.000 0.000 0.000
```

- N(E_F) (states/eV/f.u.) = 3.171
- energy relative to the elements (meV per atom) = 111
- calculated volume (Å³/cell) = 647.2
- energy (eV for the cell shown) = -33.6

=====

No. 3
## Li5H5Rh2 (GGA-PBE)

Data for a relaxed structure of Li5H5Rh2.

Geometry as CIF:
```
data_Li5H5Rh2
_chemical_formula_sum 'Li10 H10 Rh4'
_cell_length_a 9.328
_cell_length_b 2.984
_cell_length_c 7.852
_cell_angle_alpha 90.00
_cell_angle_beta 91.60
_cell_angle_gamma 90.00
_space_group_name_H-M_alt 'C 1 2/m 1'
_space_group_IT_number 12
loop_
_space_group_symop_operation_xyz
'x,y,z'
'-x,-y,-z'
'-x,y,-z'
'x,-y,z'
'x+1/2,y+1/2,z'
'-x+1/2,-y+1/2,-z'
'-x+1/2,y+1/2,-z'
'x+1/2,-y+1/2,z'
loop_
_atom_site_label
_atom_site_fract_x
_atom_site_fract_y
_atom_site_fract_z
Li1 0.000 0.000 0.000
Li2 0.139 0.000 0.551
Li3 0.223 0.500 0.829
H1 0.000 0.500 0.500
H2 0.044 0.000 0.763
H3 0.146 0.500 0.095
Rh1 0.059 0.500 0.283
```

- N(E_F) (states/eV/f.u.) = 2.311
- calculated volume (Å³/cell) = 218.5
- energy (eV for the cell shown) = -91.0